(1)
Here is a relaxed MgBe2Br6 crystal from Alexandria via LeMat-Bulk. Energies are from GGA-PBE.

Unit cell a=6.3166 b=9.7081 c=9.7081 alpha=91.24 beta=107.01 gamma=107.01
Positions (direct):
Br  0.3653  0.2504  0.3768
Br  0.0930  0.2144  0.9963
Be  0.6709  0.1989  0.3508
Br  0.8959  0.1880  0.5693
Br  0.9070  0.7856  0.0037
Mg  0.2500  0.7805  0.2195
Br  0.4070  0.0037  0.7856
Br  0.1347  0.6232  0.7496
Br  0.5930  0.9963  0.2144
Br  0.6347  0.7496  0.6232
Be  0.3291  0.8011  0.6492
Mg  0.7500  0.2195  0.7805
Br  0.8653  0.3768  0.2504
Br  0.3959  0.5693  0.1880
Br  0.6041  0.4307  0.8120
Br  0.1041  0.8120  0.4307
Be  0.8291  0.6492  0.8011
Be  0.1709  0.3508  0.1989

Calculated values
N(E_F) (states/eV/atom): 0.00
Volume (Å³ per atom): 30.0
Formation energy (no corrections) (meV per atom): -1120

(2)
Here is a relaxed Be2InPb crystal from Alexandria via LeMat-Bulk. Energies are from GGA-PBE.

Unit cell a=3.1359 b=3.8538 c=6.4847 alpha=90.00 beta=90.00 gamma=90.00
Positions (direct):
Pb  0.5000  0.5000  0.7500
Be  0.0000  0.0000  0.4252
Be  0.0000  0.0000  0.0748
In  0.5000  0.5000  0.2500

Calculated values
N(E_F) (states/eV/atom): 0.33
Volume (Å³ per atom): 19.6
Polymorph energy (0 for the lowest one) (eV per atom): 0.323

(3)
Here is a relaxed Sb2Mo2Os crystal from Alexandria via LeMat-Bulk. Energies are from GGA-PBE.

Unit cell a=6.8214 b=6.8214 c=4.0865 alpha=90.00 beta=90.00 gamma=90.00
Positions (direct):
Sb  0.6689  0.8311  0.5000
Os  0.0000  0.0000  0.0000
Os  0.5000  0.5000  0.0000
Mo  0.6369  0.1369  0.0000
Sb  0.1689  0.6689  0.5000
Mo  0.8631  0.6369  0.0000
Mo  0.3631  0.8631  0.0000
Sb  0.3311  0.1689  0.5000
Mo  0.1369  0.3631  0.0000
Sb  0.8311  0.3311  0.5000

Calculated values
N(E_F) (states/eV/atom): 0.99
Volume (Å³ per atom): 19.0
Polymorph energy (0 for the lowest one) (eV per atom): 0.000
Formation energy (no corrections) (meV per atom): 657

(4)
Here is a relaxed K10Au4O3 crystal from Alexandria via LeMat-Bulk. Energies are from GGA-PBE.

Unit cell a=5.3042 b=5.3042 c=19.4830 alpha=97.82 beta=97.82 gamma=90.00
Positions (direct):
Au  0.2976  0.2976  0.5952
Au  0.5688  0.5688  0.1377
O  0.8597  0.8597  0.7195
K  0.6390  0.1390  0.2781
K  0.7922  0.7922  0.5843
Au  0.7024  0.7024  0.4048
K  0.3610  0.8610  0.7219
O  0.1403  0.1403  0.2805
Au  0.4312  0.4312  0.8623
K  0.2078  0.2078  0.4157
K  0.8610  0.3610  0.7219
K  0.9302  0.9302  0.8604
K  0.0698  0.0698  0.1396
O  0.0000  0.0000  0.0000
K  0.1390  0.6390  0.2781
K  0.0000  0.5000  0.0000
K  0.5000  0.0000  0.0000

Calculated values
Volume (Å³ per atom): 31.6
Formation energy (no corrections) (meV per atom): -705

(5)
Here is a relaxed CeTmNi2P2 crystal from Alexandria via LeMat-Bulk. Energies are from GGA-PBE.

Unit cell a=3.9097 b=3.9097 c=7.7167 alpha=90.00 beta=90.00 gamma=120.00
Positions (direct):
P  0.3333  0.6667  0.2617
Tm  0.0000  0.0000  0.5000
Ce  0.0000  0.0000  0.0000
P  0.6667  0.3333  0.7383
Ni  0.6667  0.3333  0.2480
Ni  0.3333  0.6667  0.7520

Calculated values
N(E_F) (states/eV/atom): 0.82
E (eV/atom): -6.6610
Volume (Å³ per atom): 17.0

(6)
Here is a relaxed Dy2Al2In crystal from Alexandria via LeMat-Bulk. Energies are from GGA-PBE.

Unit cell a=7.2174 b=7.2174 c=9.1378 alpha=90.00 beta=90.00 gamma=90.00
Positions (direct):
Al  0.6277  0.1277  0.7500
Al  0.3723  0.8723  0.2500
In  0.5000  0.5000  0.7502
In  0.0000  0.0000  0.7498
In  0.0000  0.0000  0.2502
Dy  0.1698  0.6698  0.5000
Al  0.1277  0.3723  0.2500
Dy  0.3302  0.1698  0.0000
Dy  0.1698  0.6698  0.0000
In  0.5000  0.5000  0.2498
Dy  0.8302  0.3302  0.0000
Dy  0.3302  0.1698  0.5000
Al  0.8723  0.6277  0.7500
Dy  0.8302  0.3302  0.5000
Dy  0.6698  0.8302  0.0000
Dy  0.6698  0.8302  0.5000
Al  0.8723  0.6277  0.2500
Al  0.3723  0.8723  0.7500
Al  0.6277  0.1277  0.2500
Al  0.1277  0.3723  0.7500

Calculated values
N(E_F) (states/eV/atom): 0.47
E (eV/atom): -4.3517
Volume (Å³ per atom): 23.8

(7)
Here is a relaxed RbHgSbAu2 crystal from Alexandria via LeMat-Bulk. Energies are from GGA-PBE.

Unit cell a=5.1748 b=5.1748 c=6.6537 alpha=112.88 beta=112.88 gamma=90.00
Positions (direct):
Hg  0.8668  0.8668  0.7336
Rb  0.5024  0.5024  0.0047
Au  0.7385  0.2385  0.4769
Au  0.2385  0.7385  0.4769
Sb  0.1539  0.1539  0.3078

Calculated values
N(E_F) (states/eV/atom): 0.14
Volume (Å³ per atom): 29.8
Polymorph energy (0 for the lowest one) (eV per atom): 0.000
Formation energy (no corrections) (meV per atom): -257

(8)
Here is a relaxed CrSnIN2 crystal from Alexandria via LeMat-Bulk. Energies are from GGA-PBE.

Unit cell a=4.0807 b=4.0807 c=6.8047 alpha=90.00 beta=90.00 gamma=90.00
Positions (direct):
Sn  0.0000  0.0000  0.0000
N  0.0000  0.5000  0.0000
N  0.5000  0.0000  0.0000
Cr  0.5000  0.5000  0.5000
I  0.0000  0.0000  0.5000

Calculated values
N(E_F) (states/eV/atom): 0.70
Volume (Å³ per atom): 22.7
Polymorph energy (0 for the lowest one) (eV per atom): 0.386
Formation energy (no corrections) (meV per atom): 1348

(9)
Here is a relaxed Ti2Hg2Ge crystal from Alexandria via LeMat-Bulk. Energies are from GGA-PBE.

Unit cell a=6.6931 b=6.6931 c=4.4493 alpha=90.00 beta=90.00 gamma=90.00
Positions (direct):
Ti  0.8527  0.6473  0.0000
Ge  0.5000  0.5000  0.0000
Hg  0.6576  0.8424  0.5000
Ti  0.3527  0.8527  0.0000
Ti  0.6473  0.1473  0.0000
Hg  0.8424  0.3424  0.5000
Hg  0.1576  0.6576  0.5000
Hg  0.3424  0.1576  0.5000
Ti  0.1473  0.3527  0.0000
Ge  0.0000  0.0000  0.0000

Calculated values
N(E_F) (states/eV/atom): 0.98
E (eV/atom): -4.2483
Volume (Å³ per atom): 19.9

(10)
Here is a relaxed La2Sb3PRh4 crystal from Alexandria via LeMat-Bulk. Energies are from GGA-PBE.

Unit cell a=4.5040 b=4.5040 c=10.3176 alpha=90.00 beta=90.00 gamma=90.00
Positions (direct):
La  0.0000  0.5000  0.7389
Rh  0.5000  0.5000  0.0000
Sb  0.0000  0.5000  0.1379
Rh  0.5000  0.0000  0.6089
Sb  0.5000  0.0000  0.8621
La  0.5000  0.0000  0.2611
Sb  0.0000  0.0000  0.5000
Rh  0.0000  0.5000  0.3911
Rh  0.0000  0.0000  0.0000
P  0.5000  0.5000  0.5000

Calculated values
N(E_F) (states/eV/atom): 0.73
Volume (Å³ per atom): 20.9
Formation energy (no corrections) (meV per atom): -889

(11)
Here is a relaxed Nd4B3PdPt12 crystal from Alexandria via LeMat-Bulk. Energies are from GGA-PBE.

Unit cell a=7.8159 b=7.8159 c=7.8159 alpha=109.47 beta=109.47 gamma=109.47
Positions (direct):
B  0.0000  0.5000  0.5000
Nd  0.0000  0.0000  0.5000
Nd  0.5000  0.5000  0.5000
Pt  0.7500  0.5000  0.2500
Pt  0.5000  0.7500  0.2500
Pt  0.7184  0.7184  0.0000
Pt  0.5000  0.2500  0.7500
Pt  0.7500  0.2500  0.5000
Pt  0.2500  0.5000  0.7500
Pt  0.2816  0.0000  0.2816
Nd  0.5000  0.0000  0.0000
Pd  0.0000  0.0000  0.0000
Pt  0.0000  0.2816  0.2816
Pt  0.7184  0.0000  0.7184
B  0.5000  0.5000  0.0000
Pt  0.2500  0.7500  0.5000
B  0.5000  0.0000  0.5000
Pt  0.0000  0.7184  0.7184
Nd  0.0000  0.5000  0.0000
Pt  0.2816  0.2816  0.0000

Calculated values
N(E_F) (states/eV/atom): 0.71
E (eV/atom): -6.4450
Volume (Å³ per atom): 18.4

(12)
Here is a relaxed Na2Hg8Pt crystal from Alexandria via LeMat-Bulk. Energies are from GGA-PBE.

Unit cell a=4.8037 b=4.8037 c=11.7191 alpha=90.00 beta=90.00 gamma=90.00
Positions (direct):
Hg  0.5000  0.0000  0.5000
Hg  0.5000  0.0000  0.1320
Hg  0.5000  0.5000  0.6880
Hg  0.0000  0.5000  0.1320
Hg  0.5000  0.5000  0.3120
Na  0.0000  0.0000  0.6891
Hg  0.0000  0.5000  0.5000
Pt  0.0000  0.0000  0.0000
Na  0.0000  0.0000  0.3109
Hg  0.0000  0.5000  0.8680
Hg  0.5000  0.0000  0.8680

Calculated values
N(E_F) (states/eV/atom): 0.45
E (eV/atom): -1.1294
Volume (Å³ per atom): 24.6

(13)
Here is a relaxed Na2InTeO6 crystal from Alexandria via LeMat-Bulk. Energies are from GGA-PBE.

Unit cell a=5.6585 b=5.6583 c=5.6556 alpha=60.00 beta=59.99 gamma=59.99
Positions (direct):
In  0.8162  0.8162  0.5515
O  0.5441  0.1685  0.2931
Na  0.0722  0.0718  0.7840
Na  0.5601  0.5605  0.3190
Te  0.3162  0.3162  0.0515
O  0.6382  0.0872  0.8110
O  0.0882  0.4638  0.8099
O  0.1682  0.9947  0.2923
O  0.9942  0.5451  0.2920
O  0.4642  0.6377  0.8107

Calculated values
N(E_F) (states/eV/atom): 0.71
Volume (Å³ per atom): 12.8
Formation energy (no corrections) (meV per atom): -1265

(14)
Here is a relaxed AcEr3Co crystal from Alexandria via LeMat-Bulk. Energies are from GGA-PBE.

Unit cell a=5.3287 b=5.3287 c=5.3287 alpha=90.00 beta=90.00 gamma=90.00
Positions (direct):
Er  0.5000  0.0000  0.0000
Co  0.0000  0.0000  0.0000
Er  0.0000  0.5000  0.0000
Er  0.0000  0.0000  0.5000
Ac  0.5000  0.5000  0.5000

Calculated values
N(E_F) (states/eV/atom): 1.46
E (eV/atom): -5.0456
Volume (Å³ per atom): 30.3

(15)
Here is a relaxed HgGe3C crystal from Alexandria via LeMat-Bulk. Energies are from GGA-PBE.

Unit cell a=5.2031 b=5.2031 c=5.2031 alpha=90.00 beta=90.00 gamma=90.00
Positions (direct):
Ge  0.5000  0.0000  0.0000
Ge  0.0000  0.0000  0.5000
C  0.5000  0.5000  0.5000
Ge  0.0000  0.5000  0.0000
Hg  0.0000  0.0000  0.0000

Calculated values
N(E_F) (states/eV/atom): 0.54
Volume (Å³ per atom): 28.2
Polymorph energy (0 for the lowest one) (eV per atom): 1.243

(16)
Here is a relaxed Sn2RuF crystal from Alexandria via LeMat-Bulk. Energies are from GGA-PBE.

Unit cell a=4.6267 b=4.6267 c=4.6267 alpha=60.00 beta=60.00 gamma=60.00
Positions (direct):
Ru  0.5000  0.5000  0.5000
F  0.0000  0.0000  0.0000
Sn  0.2500  0.2500  0.2500
Sn  0.7500  0.7500  0.7500

Calculated values
N(E_F) (states/eV/atom): 0.66
Volume (Å³ per atom): 17.5
Polymorph energy (0 for the lowest one) (eV per atom): 0.000
Formation energy (no corrections) (meV per atom): -395

(17)
Here is a relaxed Ta2FeGeS crystal from Alexandria via LeMat-Bulk. Energies are from GGA-PBE.

Unit cell a=4.5526 b=4.0540 c=4.5526 alpha=90.00 beta=90.00 gamma=90.00
Positions (direct):
Fe  0.0000  0.5000  0.0000
Ta  0.5000  0.0000  0.0000
Ta  0.0000  0.0000  0.5000
Ge  0.5000  0.5000  0.5000
S  0.0000  0.0000  0.0000

Calculated values
N(E_F) (states/eV/atom): 0.73
Volume (Å³ per atom): 16.8
Formation energy (no corrections) (meV per atom): 260

(18)
Here is a relaxed B5C7 crystal from Alexandria via LeMat-Bulk. Energies are from GGA-PBE.

Unit cell a=2.5377 b=2.4375 c=12.6184 alpha=90.00 beta=90.00 gamma=90.00
Positions (direct):
C  0.5000  0.0000  0.2508
C  0.0000  0.5000  0.0798
C  0.0000  0.5000  0.7701
B  0.5000  0.0000  0.5797
B  0.0000  0.0000  0.6835
C  0.0000  0.0000  0.0076
B  0.5000  0.5000  0.4716
B  0.5000  0.5000  0.8474
C  0.0000  0.5000  0.3922
C  0.5000  0.0000  0.9385
B  0.5000  0.5000  0.1590
C  0.0000  0.0000  0.3197

Calculated values
N(E_F) (states/eV/atom): 0.12
Volume (Å³ per atom): 6.5
Polymorph energy (0 for the lowest one) (eV per atom): 0.101

(19)
Here is a relaxed LaRu2I crystal from Alexandria via LeMat-Bulk. Energies are from GGA-PBE.

Unit cell a=4.8752 b=4.8752 c=4.8752 alpha=60.00 beta=60.00 gamma=60.00
Positions (direct):
La  0.5000  0.5000  0.5000
Ru  0.7500  0.7500  0.7500
Ru  0.2500  0.2500  0.2500
I  0.0000  0.0000  0.0000

Calculated values
N(E_F) (states/eV/atom): 0.50
Volume (Å³ per atom): 20.5
Polymorph energy (0 for the lowest one) (eV per atom): 0.064
Formation energy (no corrections) (meV per atom): 436

(20)
Here is a relaxed Hg2RhCl crystal from Alexandria via LeMat-Bulk. Energies are from GGA-PBE.

Unit cell a=5.5821 b=5.5821 c=5.5821 alpha=136.99 beta=136.99 gamma=62.45
Positions (direct):
Cl  0.7500  0.2500  0.5000
Hg  0.0000  0.0000  0.0000
Rh  0.2500  0.7500  0.5000
Hg  0.5000  0.5000  0.0000

Calculated values
N(E_F) (states/eV/atom): 0.62
Volume (Å³ per atom): 20.0
Polymorph energy (0 for the lowest one) (eV per atom): 0.371
Formation energy (no corrections) (meV per atom): 375

(21)
Here is a relaxed ScHgOF2 crystal from Alexandria via LeMat-Bulk. Energies are from GGA-PBE.

Unit cell a=4.0846 b=4.0846 c=4.1263 alpha=90.00 beta=90.00 gamma=90.00
Positions (direct):
Sc  0.0000  0.0000  0.0000
O  0.0000  0.0000  0.5000
Hg  0.5000  0.5000  0.5000
F  0.5000  0.0000  0.0000
F  0.0000  0.5000  0.0000

Calculated values
N(E_F) (states/eV/atom): 0.42
Volume (Å³ per atom): 13.8
Polymorph energy (0 for the lowest one) (eV per atom): 0.000
Formation energy (no corrections) (meV per atom): -2475

(22)
Here is a relaxed Dy4NiTe2S crystal from Alexandria via LeMat-Bulk. Energies are from GGA-PBE.

Unit cell a=4.0183 b=7.2414 c=7.4122 alpha=108.42 beta=90.00 gamma=90.00
Positions (direct):
Dy  0.0000  0.7203  0.2030
Dy  0.0000  0.2797  0.7970
S  0.0000  0.0000  0.0000
Te  0.0000  0.5000  0.5000
Dy  0.5000  0.2407  0.2129
Ni  0.5000  0.5000  0.0000
Te  0.5000  0.0000  0.5000
Dy  0.5000  0.7593  0.7871

Calculated values
N(E_F) (states/eV/atom): 0.51
Volume (Å³ per atom): 25.6
Formation energy (no corrections) (meV per atom): -1244

(23)
Here is a relaxed Te2AsI crystal from Alexandria via LeMat-Bulk. Energies are from GGA-PBE.

Unit cell a=4.0535 b=4.0535 c=8.8885 alpha=76.82 beta=76.82 gamma=60.00
Positions (direct):
Te  0.2660  0.2660  0.2021
I  0.4984  0.4984  0.5047
Te  0.0675  0.0675  0.7974
As  0.6681  0.6681  0.9958

Calculated values
N(E_F) (states/eV/atom): 1.01
Volume (Å³ per atom): 30.5
Polymorph energy (0 for the lowest one) (eV per atom): 0.115
Formation energy (no corrections) (meV per atom): 134